Entry 1:
CdAg2Pt2: relaxed, GGA-PBE.

a = 7.880 Å, b = 7.880 Å, c = 2.951 Å
α = 90.00°, β = 90.00°, γ = 90.00°
Space group P4/mbm (No. 127)
One atom of each set of equivalent atoms:
Cd 0.000 0.000 0.000 x2
Ag 0.126 0.374 0.000 x4
Pt 0.172 0.672 0.500 x4

Summary:
- Energy relative to the elements: 0.6 eV/f.u.
- DFT total energy: -36.21 eV for the cell shown
- E above lowest polymorph: 92.5 meV/atom

***

Entry 2:
Cd2Ag2Pt: relaxed, GGA-PBE.

a = 7.780 Å, b = 7.780 Å, c = 3.124 Å
α = 90.00°, β = 90.00°, γ = 90.00°
Space group P4/mbm (No. 127)
One atom of each set of equivalent atoms:
Cd 0.173 0.327 0.000 x4
Ag 0.127 0.627 0.500 x4
Pt 0.000 0.000 0.500 x2

Summary:
- Energy relative to the elements: 0.5 eV/f.u.
- DFT total energy: -26.24 eV for the cell shown
- E above lowest polymorph: 218.2 meV/atom

***

Entry 3:
CdAgPt2: relaxed, GGA-PBE.

a = 4.067 Å, b = 4.084 Å, c = 4.097 Å
α = 90.00°, β = 90.00°, γ = 90.00°
Space group Pmmm (No. 47)
One atom of each set of equivalent atoms:
Cd 0.000 0.000 0.000 x1
Ag 0.500 0.000 0.500 x1
Pt 0.000 0.500 0.500 x1
Pt 0.500 0.500 0.000 x1

Summary:
- Energy relative to the elements: -0.6 eV/f.u.
- DFT total energy: -16.48 eV for the cell shown

***

Entry 4:
Cd2AgPt: relaxed, GGA-PBE.

a = 2.846 Å, b = 4.691 Å, c = 13.447 Å
α = 90.00°, β = 90.00°, γ = 90.00°
Space group Immm (No. 71)
One atom of each set of equivalent atoms:
Cd 0.000 0.000 0.201 x4
Ag 0.000 0.000 0.500 x2
Pt 0.000 0.000 0.000 x2

Summary:
- Energy relative to the elements: 0.4 eV/f.u.
- DFT total energy: -20.62 eV for the cell shown

***

Entry 5:
Cd7AgPt4: relaxed, GGA-PBE.

a = 5.563 Å, b = 5.826 Å, c = 7.511 Å
α = 77.58°, β = 86.66°, γ = 73.87°
Space group P-1 (No. 2)
One atom of each set of equivalent atoms:
Cd 0.000 0.000 0.000 x1
Cd 0.194 0.339 0.621 x2
Cd 0.253 0.502 0.952 x2
Cd 0.334 0.821 0.600 x2
Ag 0.500 0.000 0.000 x1
Pt 0.168 0.186 0.281 x2
Pt 0.310 0.653 0.273 x2

Summary:
- Energy relative to the elements: -2.3 eV/f.u.
- DFT total energy: -35.69 eV for the cell shown
- E above lowest polymorph: 0.0 meV/atom

***

Entry 6:
Cd8Ag6Pt: relaxed, GGA-PBE.

a = 9.7390 Å, b = 9.7390 Å, c = 12.4065 Å
α = 90.00°, β = 90.00°, γ = 120.00°
Space group R-3 (No. 148, hexagonal axes)
One atom of each set of equivalent atoms:
Cd 0.0000 0.0000 0.2186 x6
Cd 0.0421 0.7555 0.0704 x18
Ag 0.0539 0.1994 0.4029 x18
Pt 0.0000 0.0000 0.0000 x3

Summary:
- Energy relative to the elements: -0.1 eV/f.u.
- DFT total energy: -91.64 eV for the cell shown

***

Entry 7:
Cd16Ag6Pt7: relaxed, GGA-PBE.

a = 13.312 Å, b = 13.312 Å, c = 13.312 Å
α = 90.00°, β = 90.00°, γ = 90.00°
Space group Fm-3m (No. 225)
One atom of each set of equivalent atoms:
Cd 0.120 0.120 0.120 x32
Cd 0.154 0.154 0.346 x32
Ag 0.000 0.000 0.333 x24
Pt 0.000 0.000 0.000 x4
Pt 0.000 0.250 0.250 x24

Summary:
- Energy relative to the elements: -4.0 eV/f.u.
- DFT total energy: -312.28 eV for the cell shown

***

Entry 8:
Cd4AgPt2: relaxed, GGA-PBE.

a = 4.6727 Å, b = 4.6727 Å, c = 22.1897 Å
α = 90.00°, β = 90.00°, γ = 120.00°
Space group R-3m (No. 166, hexagonal axes)
One atom of each set of equivalent atoms:
Cd 0.0000 0.0000 0.1140 x6
Cd 0.0000 0.0000 0.3693 x6
Ag 0.0000 0.0000 0.5000 x3
Pt 0.0000 0.0000 0.2446 x6

Summary:
- Energy relative to the elements: -1.7 eV/f.u.
- DFT total energy: -60.75 eV for the cell shown
- E above lowest polymorph: 0.0 meV/atom

***

Entry 9:
Cd2AgPt2: relaxed, GGA-PBE.

a = 4.092 Å, b = 4.092 Å, c = 12.373 Å
α = 90.00°, β = 90.00°, γ = 90.00°
Space group I4/mmm (No. 139)
One atom of each set of equivalent atoms:
Cd 0.000 0.500 0.250 x4
Ag 0.000 0.000 0.000 x2
Pt 0.000 0.000 0.397 x4

Summary:
- Energy relative to the elements: 0.5 eV/f.u.
- DFT total energy: -32.52 eV for the cell shown
- E above lowest polymorph: 263.8 meV/atom

***

Entry 10:
CdAg2Pt: relaxed, GGA-PBE.

a = 2.915 Å, b = 4.212 Å, c = 5.772 Å
α = 90.00°, β = 90.00°, γ = 90.00°
Space group Pmmm (No. 47)
One atom of each set of equivalent atoms:
Cd 0.000 0.000 0.000 x1
Ag 0.500 0.500 0.257 x2
Pt 0.000 0.000 0.500 x1

Summary:
- Energy relative to the elements: -0.2 eV/f.u.
- DFT total energy: -12.90 eV for the cell shown

***

Entry 11:
Cd2AgPt: relaxed, GGA-PBE.

a = 3.000 Å, b = 3.928 Å, c = 6.249 Å
α = 90.00°, β = 90.27°, γ = 90.00°
Space group P2/m (No. 10)
One atom of each set of equivalent atoms:
Cd 0.001 0.000 0.241 x2
Ag 0.500 0.500 0.500 x1
Pt 0.500 0.500 0.000 x1

Summary:
- Energy relative to the elements: -0.7 eV/f.u.
- DFT total energy: -11.44 eV for the cell shown

***

Entry 12:
CdAgPt: relaxed, GGA-PBE.

a = 2.9351 Å, b = 2.9351 Å, c = 7.1153 Å
α = 90.00°, β = 90.00°, γ = 120.00°
Space group P3m1 (No. 156)
One atom of each set of equivalent atoms:
Cd 0.0000 0.0000 0.0000 x1
Ag 0.3333 0.6667 0.6553 x1
Pt 0.6667 0.3333 0.3263 x1

Summary:
- Energy relative to the elements: -0.2 eV/f.u.
- DFT total energy: -9.99 eV for the cell shown
- E above lowest polymorph: 97.4 meV/atom

***

Entry 13:
CdAg2Pt: relaxed, GGA-PBE.

a = 4.093 Å, b = 4.093 Å, c = 4.206 Å
α = 90.00°, β = 90.00°, γ = 90.00°
Space group P4/mmm (No. 123)
One atom of each set of equivalent atoms:
Cd 0.000 0.000 0.000 x1
Ag 0.000 0.500 0.500 x2
Pt 0.500 0.500 0.000 x1

Summary:
- Energy relative to the elements: -0.5 eV/f.u.
- DFT total energy: -13.18 eV for the cell shown

***

Entry 14:
CdAg2Pt2: relaxed, GGA-PBE.

a = 3.825 Å, b = 3.825 Å, c = 13.216 Å
α = 90.00°, β = 90.00°, γ = 90.00°
Space group I4/mmm (No. 139)
One atom of each set of equivalent atoms:
Cd 0.000 0.000 0.000 x2
Ag 0.000 0.500 0.250 x4
Pt 0.000 0.000 0.402 x4

Summary:
- Energy relative to the elements: 0.8 eV/f.u.
- DFT total energy: -35.84 eV for the cell shown
- E above lowest polymorph: 129.7 meV/atom

***

Entry 15:
CdAg8Pt2: relaxed, GGA-PBE.

a = 14.900 Å, b = 4.118 Å, c = 6.514 Å
α = 90.00°, β = 105.01°, γ = 90.00°
Space group C2/m (No. 12)
One atom of each set of equivalent atoms:
Cd 0.000 0.000 0.000 x2
Ag 0.049 0.500 0.726 x4
Ag 0.093 0.000 0.460 x4
Ag 0.138 0.500 0.189 x4
Ag 0.185 0.000 0.911 x4
Pt 0.229 0.500 0.631 x4

Summary:
- Energy relative to the elements: 0.0 eV/f.u.
- DFT total energy: -71.60 eV for the cell shown

***

Entry 16:
CdAgPt2: relaxed, GGA-PBE.

a = 2.874 Å, b = 2.874 Å, c = 8.272 Å
α = 90.00°, β = 90.00°, γ = 90.00°
Space group P4mm (No. 99)
One atom of each set of equivalent atoms:
Cd 0.000 0.000 0.000 x1
Ag 0.500 0.500 0.729 x1
Pt 0.000 0.000 0.482 x1
Pt 0.500 0.500 0.245 x1

Summary:
- Energy relative to the elements: -0.4 eV/f.u.
- DFT total energy: -16.20 eV for the cell shown

***

Entry 17:
Cd6AgPt5: relaxed, GGA-PBE.

a = 4.237 Å, b = 12.740 Å, c = 7.911 Å
α = 90.00°, β = 90.00°, γ = 90.00°
Space group Cmmm (No. 65)
One atom of each set of equivalent atoms:
Cd 0.000 0.000 0.245 x4
Cd 0.000 0.332 0.247 x8
Ag 0.000 0.500 0.500 x2
Pt 0.000 0.166 0.000 x4
Pt 0.000 0.167 0.500 x4
Pt 0.000 0.500 0.000 x2

Summary:
- Energy relative to the elements: -3.4 eV/f.u.
- DFT total energy: -83.80 eV for the cell shown

***

Entry 18:
Cd2Ag2Pt: relaxed, GGA-PBE.

a = 8.896 Å, b = 4.274 Å, c = 6.336 Å
α = 90.00°, β = 130.39°, γ = 90.00°
Space group C2/m (No. 12)
One atom of each set of equivalent atoms:
Cd 0.100 0.000 0.309 x4
Ag 0.199 0.500 0.095 x4
Pt 0.000 0.500 0.500 x2

Summary:
- Energy relative to the elements: -0.6 eV/f.u.
- DFT total energy: -28.42 eV for the cell shown
- E above lowest polymorph: 0.0 meV/atom

***

Entry 19:
CdAgPt2: relaxed, GGA-PBE.

a = 5.789 Å, b = 8.099 Å, c = 2.907 Å
α = 90.00°, β = 90.00°, γ = 90.00°
Space group Cmmm (No. 65)
One atom of each set of equivalent atoms:
Cd 0.000 0.000 0.000 x2
Ag 0.000 0.500 0.000 x2
Pt 0.250 0.250 0.500 x4

Summary:
- Energy relative to the elements: -0.6 eV/f.u.
- DFT total energy: -32.81 eV for the cell shown

***

Entry 20:
CdAgPt2: relaxed, GGA-PBE.

a = 4.6924 Å, b = 4.6924 Å, c = 5.3029 Å
α = 90.00°, β = 90.00°, γ = 120.00°
Space group P-6m2 (No. 187)
One atom of each set of equivalent atoms:
Cd 0.0000 0.0000 0.0000 x1
Ag 0.3333 0.6667 0.5000 x1
Pt 0.3333 0.6667 0.0000 x1
Pt 0.6667 0.3333 0.0000 x1

Summary:
- Energy relative to the elements: 1.2 eV/f.u.
- DFT total energy: -14.60 eV for the cell shown

***

Entry 21:
Cd2AgPt: relaxed, GGA-PBE.

a = 2.998 Å, b = 4.830 Å, c = 5.054 Å
α = 90.00°, β = 90.00°, γ = 90.00°
Space group Pmm2 (No. 25)
One atom of each set of equivalent atoms:
Cd 0.000 0.000 0.000 x1
Cd 0.000 0.500 0.381 x1
Ag 0.500 0.000 0.512 x1
Pt 0.500 0.500 0.877 x1

Summary:
- Energy relative to the elements: -0.7 eV/f.u.
- DFT total energy: -11.45 eV for the cell shown

***

Entry 22:
Cd2Ag8Pt: relaxed, GGA-PBE.

a = 14.963 Å, b = 4.144 Å, c = 6.660 Å
α = 90.00°, β = 106.03°, γ = 90.00°
Space group C2/m (No. 12)
One atom of each set of equivalent atoms:
Cd 0.133 0.000 0.176 x4
Ag 0.046 0.000 0.726 x4
Ag 0.089 0.500 0.452 x4
Ag 0.180 0.500 0.904 x4
Ag 0.228 0.000 0.637 x4
Pt 0.000 0.500 0.000 x2

Summary:
- Energy relative to the elements: -0.5 eV/f.u.
- DFT total energy: -62.36 eV for the cell shown
- E above lowest polymorph: 0.0 meV/atom

***

Entry 23:
Cd4Ag7Pt: relaxed, GGA-PBE.

a = 10.534 Å, b = 5.190 Å, c = 10.338 Å
α = 90.00°, β = 119.43°, γ = 90.00°
Space group C2/m (No. 12)
One atom of each set of equivalent atoms:
Cd 0.049 0.000 0.373 x4
Cd 0.089 0.500 0.782 x4
Ag 0.000 0.000 0.000 x2
Ag 0.149 0.500 0.539 x4
Ag 0.207 0.000 0.915 x4
Ag 0.225 0.500 0.311 x4
Pt 0.000 0.500 0.000 x2

Summary:
- Energy relative to the elements: 1.3 eV/f.u.
- DFT total energy: -56.75 eV for the cell shown

***

Entry 24:
CdAg2Pt9: relaxed, GGA-PBE.

a = 4.019 Å, b = 4.019 Å, c = 12.032 Å
α = 90.00°, β = 90.00°, γ = 90.00°
Space group P4/mmm (No. 123)
One atom of each set of equivalent atoms:
Cd 0.000 0.000 0.000 x1
Ag 0.000 0.000 0.335 x2
Pt 0.000 0.500 0.169 x4
Pt 0.000 0.500 0.500 x2
Pt 0.500 0.500 0.000 x1
Pt 0.500 0.500 0.334 x2

Summary:
- Energy relative to the elements: -0.4 eV/f.u.
- DFT total energy: -61.38 eV for the cell shown